1.
Computed, not measured: a relaxed structure of Rb3Tl2Cl3F2 at the PBE level of DFT.

Cell: 4.6422 4.6422 17.3007 Å, 97.71 97.71 90.00°
With the nearest neighbours (Å) after each atom.
Positions (direct):
Rb (0.0000, 0.0000, 0.0000)  6 Cl 3.28-3.34
Rb (0.4016, 0.4016, 0.8032)  5 Cl 3.28-3.34
Cl (0.9017, 0.9017, 0.8034)  5 Rb 3.28-3.34
Tl (0.2138, 0.2138, 0.4276)  4 F 2.63
Rb (0.5984, 0.5984, 0.1968)  5 Cl 3.28-3.34
Cl (0.5000, 0.5000, 0.0000)  6 Rb 3.28-3.34
Tl (0.7862, 0.7862, 0.5724)  4 F 2.63
F (0.2500, 0.7500, 0.5000)  4 Tl 2.63
Cl (0.0983, 0.0983, 0.1966)  5 Rb 3.28-3.34
F (0.7500, 0.2500, 0.5000)  4 Tl 2.63

Values from the calculation:
V	366	Å³/cell
formation energy without anion corrections	-1838	meV per atom
density of states at the Fermi level	0.0000	states/eV per atom
symmetry	No. 139
energy	-3.53	eV per atom

2.
Computed, not measured: a relaxed structure of La5Tb2Dy5 at the PBE level of DFT.

Cell: 5.1338 10.8554 8.1586 Å, 98.72 71.66 76.32°
With the nearest neighbours (Å) after each atom.
Positions (direct):
Dy (0.6688, 0.7464, 0.9160)  3 Tb 3.59-3.61, 3 Dy 3.61-3.67, 6 La 3.62-3.65
Tb (0.3325, 0.5008, 0.8342)  5 La 3.59-3.65, 5 Dy 3.59-3.64, 2 Tb 3.63
Dy (0.3312, 0.2536, 0.0840)  3 Tb 3.59-3.61, 3 Dy 3.61-3.67, 6 La 3.62-3.65
La (0.6673, 0.2516, 0.4138)  2 Tb 3.60-3.65, 7 Dy 3.61-3.66, 3 La 3.63-3.68
La (0.0032, 0.7482, 0.2454)  3 Tb 3.59-3.62, 6 Dy 3.62-3.66, 3 La 3.63-3.68
Dy (0.6672, 0.0000, 0.6655)  4 Dy 3.63-3.67, 8 La 3.63-3.66
La (0.9968, 0.2518, 0.7546)  3 Tb 3.59-3.62, 6 Dy 3.62-3.66, 3 La 3.63-3.68
Dy (0.0000, 0.5000, 0.5000)  2 Dy 3.61, 6 La 3.61-3.64, 4 Tb 3.64
Dy (0.3328, 0.0000, 0.3345)  4 Dy 3.63-3.67, 8 La 3.63-3.66
La (0.0000, 0.0000, 0.0000)  4 La 3.63, 8 Dy 3.65
Tb (0.6675, 0.4992, 0.1658)  5 La 3.59-3.65, 5 Dy 3.59-3.64, 2 Tb 3.63
La (0.3327, 0.7484, 0.5862)  2 Tb 3.60-3.65, 7 Dy 3.61-3.66, 3 La 3.63-3.68

Values from the calculation:
V	407	Å³/cell
density of states at the Fermi level	1.6259	states/eV per atom
symmetry	No. 12
DFT formation energy	28	meV/atom
energy	-4.71	eV per atom

3.
Computed, not measured: a relaxed structure of BiSe2SN at the PBE level of DFT.

Cell: 5.3273 5.3273 3.4639 Å, 90.00 90.00 90.00°
With the nearest neighbours (Å) after each atom.
Positions (direct):
Se (0.0000, 0.5000, 0.0000)  2 S 2.66
N (0.0000, 0.0000, 0.5000)  2 S 1.73
S (0.0000, 0.0000, 0.0000)  2 N 1.73
Se (0.5000, 0.0000, 0.0000)  2 S 2.66
Bi (0.5000, 0.5000, 0.5000)  8 Se 3.18, 2 Bi 3.46

Values from the calculation:
V	98	Å³/cell
formation energy without anion corrections	705	meV per atom
density of states at the Fermi level	0.7573	states/eV per atom
energy above the most stable polymorph in this dataset	0	meV/atom
symmetry	No. 123
energy	-3.96	eV per atom

4.
Computed, not measured: a relaxed structure of AsPbAu at the PBE level of DFT.

Cell: 6.2244 6.2242 3.5368 Å, 73.50 73.49 33.01°
With the nearest neighbours (Å) after each atom.
Positions (direct):
Au (0.3664, 0.3664, 0.6336)  4 As 2.72
Pb (0.6730, 0.6730, 0.3270)  5 As 3.28-3.48, 5 Au 3.33-3.49, 4 Pb 3.54
As (0.9606, 0.9606, 0.0394)  4 Au 2.72

Values from the calculation:
V	71	Å³/cell
density of states at the Fermi level	0.3197	states/eV per atom
energy above the most stable polymorph in this dataset	176	meV/atom
symmetry	No. 107
DFT formation energy	111	meV/atom
energy	-3.77	eV per atom

5.
Computed, not measured: a relaxed structure of TbSmEuEr at the PBE level of DFT.

Cell: 5.7670 5.7670 5.7670 Å, 60.00 60.00 60.00°
With the nearest neighbours (Å) after each atom.
Positions (direct):
Tb (0.5000, 0.5000, 0.5000)  4 Eu 3.53, 4 Er 3.53
Eu (0.7500, 0.7500, 0.7500)  4 Tb 3.53, 4 Sm 3.53
Sm (0.0000, 0.0000, 0.0000)  4 Er 3.53, 4 Eu 3.53
Er (0.2500, 0.2500, 0.2500)  4 Tb 3.53, 4 Sm 3.53

Values from the calculation:
V	136	Å³/cell
density of states at the Fermi level	1.7519	states/eV per atom
symmetry	No. 216
DFT formation energy	156	meV/atom
energy	-5.89	eV per atom

6.
Computed, not measured: a relaxed structure of NaLiTl2O4 at the PBE level of DFT.

Cell: 3.4244 5.8511 11.4669 Å, 90.00 90.00 107.02°
With the nearest neighbours (Å) after each atom.
Positions (direct):
Na (0.0946, 0.1893, 0.7500)  6 O 2.51-2.81
Li (0.1664, 0.3329, 0.2500)  4 O 1.93-2.02
Na (0.9054, 0.8107, 0.2500)  6 O 2.51-2.81
O (0.4300, 0.8601, 0.7500)  2 Li 2.02
O (0.0000, 0.0000, 0.0000)  4 Tl 2.37
O (0.5700, 0.1399, 0.2500)  2 Li 2.02
Tl (0.6338, 0.2676, 0.4415)  6 O 2.26-2.37
Tl (0.3662, 0.7324, 0.5585)  6 O 2.26-2.37
Tl (0.3662, 0.7324, 0.9415)  6 O 2.26-2.37
O (0.2647, 0.5295, 0.3880)  1 Li 1.93
Li (0.8336, 0.6671, 0.7500)  4 O 1.93-2.02
O (0.7353, 0.4705, 0.8880)  1 Li 1.93
O (0.2647, 0.5295, 0.1120)  1 Li 1.93
O (0.0000, 0.0000, 0.5000)  4 Tl 2.37
Tl (0.6338, 0.2676, 0.0585)  6 O 2.26-2.37
O (0.7353, 0.4705, 0.6120)  1 Li 1.93

Values from the calculation:
V	220	Å³/cell
formation energy without anion corrections	-1037	meV per atom
density of states at the Fermi level	0.4508	states/eV per atom
symmetry	No. 63
energy	-4.51	eV per atom